1.
Entry from OQMD: a relaxed structure of ErCdGa (PBE-GGA).

Excess energy over the best structure of this formula in the dataset = 443 meV/atom
Total energy = -2.771 eV/atom
Magnetization = 0.0 μB per cell

Cell lengths 6.8487, 6.8487, 6.8487 Å; angles 90.00, 90.00, 90.00 degrees
Closest atoms and distances in Å follow each position.
Space group F-43m (No. 216)
Symmetry-distinct sites (fractional):
1 Er 0.0000 0.0000 0.0000 (multiplicity 4)  4 Cd 2.97, 4 Ga 2.97
2 Cd 0.2500 0.2500 0.7500 (multiplicity 4)  4 Er 2.97
3 Ga 0.2500 0.2500 0.2500 (multiplicity 4)  4 Er 2.97



2.
Entry from OQMD: a relaxed structure of ErCdGa (PBE-GGA).

Excess energy over the best structure of this formula in the dataset = 0 meV/atom
Total energy = -3.214 eV/atom
Magnetization = 0.0 μB per cell

Cell lengths 6.6142, 6.6142, 6.6142 Å; angles 90.00, 90.00, 90.00 degrees
Closest atoms and distances in Å follow each position.
Space group F-43m (No. 216)
Symmetry-distinct sites (fractional):
1 Er 0.0000 0.0000 0.0000 (multiplicity 4)  4 Ga 2.86
2 Cd 0.0000 0.0000 0.5000 (multiplicity 4)  4 Ga 2.86
3 Ga 0.2500 0.2500 0.7500 (multiplicity 4)  4 Cd 2.86, 4 Er 2.86



3.
Entry from OQMD: a relaxed structure of HoEr2Cd3Ga3 (PBE-GGA).

Total energy = -3.339 eV/atom
Magnetization = 0.0 μB per cell

Cell lengths 4.3950, 12.5035, 7.2132 Å; angles 90.00, 90.00, 90.00 degrees
Closest atoms and distances in Å follow each position.
Space group Amm2 (No. 38)
Symmetry-distinct sites (fractional):
1 Ho 0.0000 0.0000 0.0000 (multiplicity 2)  5 Ga 3.08, 2 Cd 3.21
2 Er 0.0000 0.2131 0.6394 (multiplicity 4)  5 Ga 3.07, 2 Cd 3.21
3 Cd 0.5000 0.0000 0.6753 (multiplicity 2)  4 Ga 2.76-2.84
4 Cd 0.5000 0.1245 0.3019 (multiplicity 4)  4 Ga 2.76-2.84
5 Ga 0.0000 0.0000 0.4269 (multiplicity 2)  6 Cd 2.84, 2 Er 3.07, 1 Ho 3.08
6 Ga 0.5000 0.1670 0.9262 (multiplicity 4)  3 Cd 2.76, 4 Er 3.07, 2 Ho 3.08



4.
Entry from OQMD: a relaxed structure of HoEr2Cd3InGa2 (PBE-GGA).

Total energy = -3.270 eV/atom
Magnetization = 0.0 μB per cell

Cell lengths 4.4927, 12.6113, 7.2786 Å; angles 90.00, 90.00, 90.00 degrees
Closest atoms and distances in Å follow each position.
Space group Amm2 (No. 38)
Symmetry-distinct sites (fractional):
1 Ho 0.0000 0.0000 0.0000 (multiplicity 2)  4 Ga 3.11, 2 Cd 3.17, 1 In 3.18
2 Er 0.0000 0.2188 0.6563 (multiplicity 4)  4 Ga 3.11, 2 Cd 3.17, 1 In 3.19
3 Cd 0.5000 0.0000 0.6929 (multiplicity 2)  2 Ga 2.76, 2 In 2.92
4 Cd 0.5000 0.1277 0.3098 (multiplicity 4)  2 Ga 2.75, 2 In 2.92
5 In 0.0000 0.0000 0.4375 (multiplicity 2)  6 Cd 2.92, 1 Ho 3.18, 2 Er 3.19
6 Ga 0.5000 0.1667 0.9375 (multiplicity 4)  3 Cd 2.75-2.76



5.
Entry from OQMD: a relaxed structure of Ho2ErCd3InGa2 (PBE-GGA).

Total energy = -3.276 eV/atom
Magnetization = 0.0 μB per cell

Cell lengths 4.4971, 12.6174, 7.2891 Å; angles 90.00, 90.00, 90.00 degrees
Closest atoms and distances in Å follow each position.
Space group Amm2 (No. 38)
Symmetry-distinct sites (fractional):
1 Ho 0.0000 0.2188 0.0000 (multiplicity 4)  4 Ga 3.11, 2 Cd 3.17, 1 In 3.19
2 Er 0.0000 0.0000 0.6563 (multiplicity 2)  4 Ga 3.11, 2 Cd 3.17, 1 In 3.19
3 Cd 0.5000 0.0000 0.9632 (multiplicity 2)  2 Ga 2.76, 2 In 2.92
4 Cd 0.5000 0.1277 0.3465 (multiplicity 4)  2 Ga 2.76, 2 In 2.92
5 In 0.0000 0.0000 0.2189 (multiplicity 2)  6 Cd 2.92, 2 Ho 3.19, 1 Er 3.19
6 Ga 0.5000 0.1666 0.7188 (multiplicity 4)  3 Cd 2.76



6.
Entry from OQMD: a relaxed structure of HoEr2Mg3CdGa2 (PBE-GGA).

Total energy = -3.238 eV/atom
Magnetization = 0.0 μB per cell

Cell lengths 4.4407, 12.7047, 7.3208 Å; angles 90.00, 90.00, 90.00 degrees
Closest atoms and distances in Å follow each position.
Space group Amm2 (No. 38)
Symmetry-distinct sites (fractional):
1 Ho 0.0000 0.0000 0.0000 (multiplicity 2)  4 Ga 3.11, 1 Cd 3.17, 2 Mg 3.22
2 Er 0.0000 0.2161 0.6483 (multiplicity 4)  4 Ga 3.10-3.11, 1 Cd 3.17, 2 Mg 3.22
3 Mg 0.5000 0.0000 0.6820 (multiplicity 2)  2 Ga 2.80, 2 Cd 2.87
4 Mg 0.5000 0.1250 0.3075 (multiplicity 4)  2 Ga 2.80, 2 Cd 2.88
5 Cd 0.0000 0.0000 0.4330 (multiplicity 2)  6 Mg 2.87-2.88, 2 Er 3.17, 1 Ho 3.17
6 Ga 0.5000 0.1670 0.9322 (multiplicity 4)  3 Mg 2.80, 4 Er 3.10-3.11, 2 Ho 3.11



7.
Entry from OQMD: a relaxed structure of Ho2ErTlCd3Ga2 (PBE-GGA).

Total energy = -3.191 eV/atom
Magnetization = 0.0 μB per cell

Cell lengths 4.5073, 12.6593, 7.3165 Å; angles 90.00, 90.00, 90.00 degrees
Closest atoms and distances in Å follow each position.
Space group Amm2 (No. 38)
Symmetry-distinct sites (fractional):
1 Ho 0.0000 0.2171 0.0000 (multiplicity 4)  4 Ga 3.13, 2 Cd 3.17, 1 Tl 3.18
2 Er 0.0000 0.0000 0.6517 (multiplicity 2)  4 Ga 3.12, 2 Cd 3.17, 1 Tl 3.17
3 Tl 0.0000 0.0000 0.2179 (multiplicity 2)  6 Cd 2.95, 1 Er 3.17, 2 Ho 3.18
4 Cd 0.5000 0.0000 0.9567 (multiplicity 2)  2 Ga 2.74, 2 Tl 2.95
5 Cd 0.5000 0.1302 0.3475 (multiplicity 4)  2 Ga 2.74-2.75, 2 Tl 2.95
6 Ga 0.5000 0.1664 0.7171 (multiplicity 4)  3 Cd 2.74-2.75



8.
Entry from OQMD: a relaxed structure of Er3MgCd2InGa2 (PBE-GGA).

Total energy = -3.340 eV/atom
Magnetization = 0.0 μB per cell

Cell lengths 4.4990, 12.5517, 7.2582 Å; angles 90.00, 90.00, 90.00 degrees
Closest atoms and distances in Å follow each position.
Space group Amm2 (No. 38)
Symmetry-distinct sites (fractional):
1 Er 0.0000 0.0000 0.0000 (multiplicity 2)  4 Ga 3.08, 1 In 3.20, 2 Mg 3.22
2 Er 0.0000 0.2200 0.3434 (multiplicity 4)  4 Ga 3.10-3.13, 2 Cd 3.15, 1 In 3.18
3 Mg 0.5000 0.0000 0.3165 (multiplicity 2)  2 Ga 2.75, 2 In 2.86
4 Cd 0.5000 0.1277 0.6902 (multiplicity 4)  2 Ga 2.76-2.77, 2 In 2.92
5 In 0.0000 0.0000 0.5597 (multiplicity 2)  2 Mg 2.86, 4 Cd 2.92, 3 Er 3.18-3.20
6 Ga 0.5000 0.1639 0.0650 (multiplicity 4)  1 Mg 2.75, 2 Cd 2.76-2.77



9.
Entry from OQMD: a relaxed structure of Nd2ErCd3InGa2 (PBE-GGA).

Total energy = -3.336 eV/atom
Magnetization = 0.0 μB per cell

Cell lengths 4.5712, 12.8044, 7.4605 Å; angles 90.00, 90.00, 90.00 degrees
Closest atoms and distances in Å follow each position.
Space group Amm2 (No. 38)
Symmetry-distinct sites (fractional):
1 Nd 0.0000 0.2176 0.0000 (multiplicity 4)  4 Ga 3.18-3.19, 2 Cd 3.24, 1 In 3.26
2 Er 0.0000 0.0000 0.3444 (multiplicity 2)  4 Ga 3.13, 1 In 3.21, 2 Cd 3.25
3 Cd 0.5000 0.0000 0.0348 (multiplicity 2)  2 Ga 2.79, 2 In 3.00
4 Cd 0.5000 0.1267 0.6538 (multiplicity 4)  2 Ga 2.81-2.86, 2 In 2.94
5 In 0.0000 0.0000 0.7743 (multiplicity 2)  6 Cd 2.94-3.00, 1 Er 3.21, 2 Nd 3.26
6 Ga 0.5000 0.1631 0.2818 (multiplicity 4)  3 Cd 2.79-2.86



10.
Entry from OQMD: a relaxed structure of Tb2ErCd3InGa2 (PBE-GGA).

Total energy = -3.299 eV/atom
Magnetization = 0.0 μB per cell

Cell lengths 4.5096, 12.6428, 7.3267 Å; angles 90.00, 90.00, 90.00 degrees
Closest atoms and distances in Å follow each position.
Space group Amm2 (No. 38)
Symmetry-distinct sites (fractional):
1 Tb 0.0000 0.2185 0.0000 (multiplicity 4)  4 Ga 3.13, 2 Cd 3.19, 1 In 3.20
2 Er 0.0000 0.0000 0.6560 (multiplicity 2)  4 Ga 3.11, 2 Cd 3.18, 1 In 3.19
3 Cd 0.5000 0.0000 0.9628 (multiplicity 2)  2 Ga 2.76, 2 In 2.94
4 Cd 0.5000 0.1274 0.3464 (multiplicity 4)  2 Ga 2.77-2.78, 2 In 2.92
5 In 0.0000 0.0000 0.2199 (multiplicity 2)  6 Cd 2.92-2.94, 1 Er 3.19, 2 Tb 3.20
6 Ga 0.5000 0.1659 0.7186 (multiplicity 4)  3 Cd 2.76-2.78



11.
Entry from OQMD: a relaxed structure of Er3Mg2CdGa3 (PBE-GGA).

Total energy = -3.478 eV/atom
Magnetization = 0.0 μB per cell

Cell lengths 4.4084, 12.5174, 7.1836 Å; angles 90.00, 90.00, 90.00 degrees
Closest atoms and distances in Å follow each position.
Space group Amm2 (No. 38)
Symmetry-distinct sites (fractional):
1 Er 0.0000 0.0000 0.0000 (multiplicity 2)  5 Ga 3.05-3.09, 2 Cd 3.21
2 Er 0.0000 0.2132 0.6445 (multiplicity 4)  5 Ga 3.07-3.10, 2 Mg 3.25
3 Mg 0.5000 0.1217 0.3106 (multiplicity 4)  4 Ga 2.77-2.80, 1 Cd 3.03, 1 Mg 3.05
4 Cd 0.5000 0.0000 0.6760 (multiplicity 2)  4 Ga 2.79-2.85, 2 Mg 3.03
5 Ga 0.0000 0.0000 0.4246 (multiplicity 2)  4 Mg 2.80, 2 Cd 2.85, 3 Er 3.05-3.10
6 Ga 0.5000 0.1681 0.9316 (multiplicity 4)  2 Mg 2.77-2.78, 1 Cd 2.79, 6 Er 3.07-3.09



12.
Entry from OQMD: a relaxed structure of Er3Mg3CdGa2 (PBE-GGA).

Total energy = -3.234 eV/atom
Magnetization = 0.0 μB per cell

Cell lengths 7.3332, 7.3332, 4.4146 Å; angles 90.00, 90.00, 120.00 degrees
Closest atoms and distances in Å follow each position.
Space group P-62m (No. 189)
Symmetry-distinct sites (fractional):
1 Er 0.0000 0.5679 0.0000 (multiplicity 3)  4 Ga 3.10, 1 Cd 3.17, 2 Mg 3.21
2 Mg 0.0000 0.2498 0.5000 (multiplicity 3)  2 Ga 2.80, 2 Cd 2.87
3 Cd 0.0000 0.0000 0.0000 (multiplicity 1)  6 Mg 2.87, 3 Er 3.17
4 Ga 0.3333 0.6667 0.5000 (multiplicity 2)  3 Mg 2.80, 6 Er 3.10



13.
Entry from OQMD: a relaxed structure of ErTm2Mg3CdGa2 (PBE-GGA).

Total energy = -3.207 eV/atom
Magnetization = 0.0 μB per cell

Cell lengths 4.4295, 12.6578, 7.2959 Å; angles 90.00, 90.00, 90.00 degrees
Closest atoms and distances in Å follow each position.
Space group Amm2 (No. 38)
Symmetry-distinct sites (fractional):
1 Er 0.0000 0.0000 0.0000 (multiplicity 2)  4 Ga 3.10, 1 Cd 3.17, 2 Mg 3.20
2 Tm 0.0000 0.2165 0.3506 (multiplicity 4)  4 Ga 3.09, 1 Cd 3.16, 2 Mg 3.21
3 Mg 0.5000 0.0000 0.3175 (multiplicity 2)  2 Ga 2.79, 2 Cd 2.86
4 Mg 0.5000 0.1247 0.6916 (multiplicity 4)  2 Ga 2.79, 2 Cd 2.87
5 Cd 0.0000 0.0000 0.5660 (multiplicity 2)  6 Mg 2.86-2.87, 2 Tm 3.16, 1 Er 3.17
6 Ga 0.5000 0.1670 0.0672 (multiplicity 4)  3 Mg 2.79, 4 Tm 3.09, 2 Er 3.10



14.
Entry from OQMD: a relaxed structure of TbEr2Cd3Ga3 (PBE-GGA).

Total energy = -3.350 eV/atom
Magnetization = 0.0 μB per cell

Cell lengths 4.4016, 12.5430, 7.2236 Å; angles 90.00, 90.00, 90.00 degrees
Closest atoms and distances in Å follow each position.
Space group Amm2 (No. 38)
Symmetry-distinct sites (fractional):
1 Tb 0.0000 0.0000 0.0000 (multiplicity 2)  5 Ga 3.09, 2 Cd 3.22
2 Er 0.0000 0.2125 0.6378 (multiplicity 4)  5 Ga 3.07-3.08, 2 Cd 3.22
3 Cd 0.5000 0.0000 0.6753 (multiplicity 2)  4 Ga 2.77-2.84
4 Cd 0.5000 0.1247 0.3010 (multiplicity 4)  4 Ga 2.75-2.85
5 Ga 0.0000 0.0000 0.4277 (multiplicity 2)  6 Cd 2.84-2.85, 2 Er 3.07, 1 Tb 3.09
6 Ga 0.5000 0.1677 0.9254 (multiplicity 4)  3 Cd 2.75-2.77, 4 Er 3.07-3.08



15.
Entry from OQMD: a relaxed structure of Tb2ErCd3Ga3 (PBE-GGA).

Total energy = -3.366 eV/atom
Magnetization = 0.0 μB per cell

Cell lengths 4.4101, 12.5470, 7.2728 Å; angles 90.00, 90.00, 90.00 degrees
Closest atoms and distances in Å follow each position.
Space group Amm2 (No. 38)
Symmetry-distinct sites (fractional):
1 Tb 0.0000 0.2122 0.0000 (multiplicity 4)  5 Ga 3.09-3.10, 2 Cd 3.23
2 Er 0.0000 0.0000 0.6368 (multiplicity 2)  5 Ga 3.07-3.08, 2 Cd 3.24
3 Cd 0.5000 0.0000 0.9633 (multiplicity 2)  4 Ga 2.76-2.86
4 Cd 0.5000 0.1247 0.3375 (multiplicity 4)  4 Ga 2.77-2.85
5 Ga 0.0000 0.0000 0.2148 (multiplicity 2)  6 Cd 2.85-2.86, 1 Er 3.07, 2 Tb 3.09
6 Ga 0.5000 0.1656 0.7124 (multiplicity 4)  3 Cd 2.76-2.78, 2 Er 3.08, 2 Tb 3.10



16.
Entry from OQMD: a relaxed structure of Er2TmCd3Ga3 (PBE-GGA).

Total energy = -3.320 eV/atom
Magnetization = 0.0 μB per cell

Cell lengths 4.3792, 12.4713, 7.2116 Å; angles 90.00, 90.00, 90.00 degrees
Closest atoms and distances in Å follow each position.
Space group Amm2 (No. 38)
Symmetry-distinct sites (fractional):
1 Er 0.0000 0.2127 0.0000 (multiplicity 4)  5 Ga 3.07, 2 Cd 3.20
2 Tm 0.0000 0.0000 0.3617 (multiplicity 2)  5 Ga 3.06, 2 Cd 3.21
3 Cd 0.5000 0.0000 0.0366 (multiplicity 2)  4 Ga 2.75-2.84
4 Cd 0.5000 0.1248 0.6623 (multiplicity 4)  4 Ga 2.75-2.83
5 Ga 0.0000 0.0000 0.7864 (multiplicity 2)  6 Cd 2.83-2.84, 1 Tm 3.06, 2 Er 3.07
6 Ga 0.5000 0.1663 0.2872 (multiplicity 4)  3 Cd 2.75-2.76, 2 Tm 3.06, 4 Er 3.07



17.
Entry from OQMD: a relaxed structure of ErTm2Cd3Ga3 (PBE-GGA).

Total energy = -3.306 eV/atom
Magnetization = 0.0 μB per cell

Cell lengths 4.3783, 12.4706, 7.1905 Å; angles 90.00, 90.00, 90.00 degrees
Closest atoms and distances in Å follow each position.
Space group Amm2 (No. 38)
Symmetry-distinct sites (fractional):
1 Er 0.0000 0.0000 0.0000 (multiplicity 2)  5 Ga 3.06-3.07, 2 Cd 3.20
2 Tm 0.0000 0.2126 0.3621 (multiplicity 4)  5 Ga 3.06, 2 Cd 3.20
3 Cd 0.5000 0.0000 0.3244 (multiplicity 2)  4 Ga 2.75-2.83
4 Cd 0.5000 0.1251 0.6996 (multiplicity 4)  4 Ga 2.74-2.84
5 Ga 0.0000 0.0000 0.5739 (multiplicity 2)  6 Cd 2.83-2.84, 2 Tm 3.06, 1 Er 3.06
6 Ga 0.5000 0.1670 0.0747 (multiplicity 4)  3 Cd 2.74-2.75, 4 Tm 3.06, 2 Er 3.07



18.
Entry from OQMD: a relaxed structure of Gd2Er3Cd3 (PBE-GGA).

Excess energy over the best structure of this formula in the dataset = 0 meV/atom
Total energy = -3.376 eV/atom
Energy relative to the elements = -0.1650 eV/atom
Magnetization = 0.0 μB per cell

Cell lengths 6.6985, 5.3960, 6.6992 Å; angles 90.00, 117.60, 90.00 degrees
Closest atoms and distances in Å follow each position.
Space group Pm (No. 6)
Symmetry-distinct sites (fractional):
1 Gd 0.0000 0.0000 0.0000 (multiplicity 1)  6 Cd 3.27-3.42, 6 Er 3.34-3.57
2 Gd 0.3139 0.5000 0.6985 (multiplicity 1)  6 Er 3.25-3.48, 6 Cd 3.30-3.40
3 Er 0.3295 0.5000 0.1903 (multiplicity 1)  4 Gd 3.25-3.45, 4 Er 3.25-3.45, 4 Cd 3.34-3.51
4 Er 0.5145 0.0000 0.5149 (multiplicity 1)  6 Cd 3.25-3.45, 2 Er 3.32, 4 Gd 3.37-3.57
5 Er 0.8185 0.5000 0.1980 (multiplicity 1)  2 Er 3.25-3.45, 6 Cd 3.28-3.39, 4 Gd 3.46-3.48
6 Cd 0.5027 0.0000 0.0191 (multiplicity 1)  6 Er 3.29-3.42, 4 Gd 3.31-3.39, 2 Cd 3.41-3.53
7 Cd 0.8175 0.5000 0.6913 (multiplicity 1)  6 Er 3.25-3.51, 4 Gd 3.27-3.40, 2 Cd 3.40
8 Cd 0.9968 0.0000 0.5087 (multiplicity 1)  4 Er 3.25-3.45, 4 Gd 3.28-3.42, 4 Cd 3.40-3.53



19.
Entry from OQMD: a relaxed structure of Gd2Er3Cd3 (PBE-GGA).

Excess energy over the best structure of this formula in the dataset = 62 meV/atom
Total energy = -3.314 eV/atom
Energy relative to the elements = -0.1032 eV/atom
Magnetization = 0.0 μB per cell

Cell lengths 5.5374, 7.0672, 11.2958 Å; angles 90.00, 90.00, 90.00 degrees
Closest atoms and distances in Å follow each position.
Space group Amm2 (No. 38)
Symmetry-distinct sites (fractional):
1 Gd 0.0000 0.0000 0.0000 (multiplicity 2)  6 Cd 3.27-3.38, 6 Er 3.49-3.56
2 Gd 0.5000 0.0000 0.3509 (multiplicity 2)  6 Cd 3.31-3.53, 6 Er 3.32-3.49
3 Er 0.0000 0.0000 0.5395 (multiplicity 2)  4 Cd 3.24-3.46, 4 Er 3.36, 4 Gd 3.49-3.56
4 Er 0.5000 0.2487 0.6029 (multiplicity 4)  4 Cd 3.26-3.40, 4 Gd 3.32-3.49, 4 Er 3.36-3.55
5 Cd 0.0000 0.2192 0.2660 (multiplicity 4)  1 Cd 3.10, 4 Er 3.24-3.46, 4 Gd 3.31-3.38
6 Cd 0.5000 0.0000 0.8465 (multiplicity 2)  4 Er 3.26-3.40, 4 Gd 3.27-3.53, 4 Cd 3.53



20.
Entry from OQMD: a relaxed structure of Gd2ErCd5 (PBE-GGA).

Total energy = -2.593 eV/atom
Energy relative to the elements = -0.2989 eV/atom
Magnetization = 0.0 μB per cell

Cell lengths 5.1328, 7.2123, 10.7363 Å; angles 90.00, 90.00, 90.00 degrees
Closest atoms and distances in Å follow each position.
Space group Amm2 (No. 38)
Symmetry-distinct sites (fractional):
1 Gd 0.0000 0.0000 0.0000 (multiplicity 2)  8 Cd 3.11-3.26
2 Gd 0.5000 0.0000 0.3140 (multiplicity 2)  10 Cd 3.16-3.36
3 Er 0.5000 0.0000 0.7695 (multiplicity 2)  8 Cd 3.06-3.43
4 Cd 0.0000 0.0000 0.5161 (multiplicity 2)  8 Cd 3.14-3.34, 2 Gd 3.36
5 Cd 0.0000 0.2419 0.2512 (multiplicity 4)  5 Cd 3.14-3.49, 4 Gd 3.18-3.26, 2 Er 3.18
6 Cd 0.5000 0.2337 0.0472 (multiplicity 4)  2 Er 3.06-3.43, 4 Gd 3.11-3.32, 5 Cd 3.22-3.37